Density functional theory data (GGA-PBE) for a relaxed structure of PmSc2Zn2Ga2.

a = 4.390 Å, b = 4.390 Å, c = 9.061 Å
α = 75.98°, β = 75.98°, γ = 60.00°
Element x y z (fractional)
Sc 0.131 0.131 0.607
Zn 0.410 0.410 0.769
Ga 0.253 0.253 0.242
Ga 0.747 0.747 0.758
Pm 0.000 0.000 0.000
Zn 0.590 0.590 0.231
Sc 0.869 0.869 0.393

Properties
The density of states at the Fermi level comes out at 0.65 states/eV/atom. The total magnetic moment comes out at 0.00 μB per cell. The calculation puts the total energy at -0.15196 Ha/atom.

=====

Density functional theory data (GGA-PBE) for a relaxed structure of BaTe2Ru.

a = 6.068 Å, b = 6.068 Å, c = 5.913 Å
α = 66.93°, β = 66.93°, γ = 39.56°
Element x y z (fractional)
Te 0.897 0.897 0.187
Ru 0.314 0.314 0.024
Ba 0.548 0.548 0.469
Te 0.741 0.741 0.819

Properties
The density of states at the Fermi level comes out at 0.49 states/eV/atom. The calculation puts the energy relative to the elements, uncorrected at -47.0 kJ/mol of atoms. The total magnetic moment comes out at 0.00 μB per cell. The relative energy among the computed polymorphs comes out at 0.74 eV per formula unit.

=====

Density functional theory data (GGA-PBE) for a relaxed structure of BaLi2Co.

a = 6.066 Å, b = 6.066 Å, c = 6.066 Å
α = 145.70°, β = 130.54°, γ = 61.57°
Element x y z (fractional)
Ba 0.250 0.750 0.500
Li 0.950 0.950 0.000
Li 0.550 0.550 0.000
Co 0.750 0.250 0.500

Properties
The density of states at the Fermi level comes out at 1.19 states/eV/atom. The total magnetic moment comes out at 0.98 μB per cell. The relative energy among the computed polymorphs comes out at 0.12 eV per formula unit.

=====

Density functional theory data (GGA-PBE) for a relaxed structure of Ba2SiAg2.

a = 7.652 Å, b = 7.652 Å, c = 5.044 Å
α = 90.00°, β = 90.00°, γ = 90.00°
Element x y z (fractional)
Ag 0.870 0.630 0.000
Ag 0.370 0.870 0.000
Ba 0.814 0.314 0.500
Si 0.500 0.500 0.000
Ag 0.630 0.130 0.000
Ba 0.186 0.686 0.500
Si 0.000 0.000 0.000
Ba 0.686 0.814 0.500
Ag 0.130 0.370 0.000
Ba 0.314 0.186 0.500

Properties
The density of states at the Fermi level comes out at 0.40 states/eV/atom. The calculation puts the energy relative to the elements, uncorrected at -7.7 kJ/mol of atoms. The total magnetic moment comes out at 0.00 μB per cell. The relative energy among the computed polymorphs comes out at 0.21 eV per formula unit.